This record from Alexandria via LeMat-Bulk describes a relaxed structure of TlIrF5. The functional is PBE.

Summary:
For the total energy, the calculation gives -4.541 eV per atom. The crystal system is monoclinic. The spin magnetization is 2.022 Bohr magnetons per cell.

Cell: 6.1973 6.1973 8.4631 Å, 94.80 119.26 102.62°
Last column: nearest neighbours and their distance in Å.
Fractional coordinates of all 14 atoms:
1 Ir 0.5000 0.0000 0.5000  6 F 1.94-2.03
2 Ir 0.0000 0.0000 0.0000  6 F 1.94-2.03
3 F 0.6623 0.9123 0.7500  2 Ir 2.03
4 F 0.4762 0.2737 0.6115  1 Ir 1.94
5 F 0.1622 0.8647 0.8885  1 Ir 1.94
6 F 0.1496 0.2961 0.9727  1 Ir 1.95
7 F 0.5238 0.7263 0.3885  1 Ir 1.94
8 F 0.8234 0.1769 0.5273  1 Ir 1.95
9 F 0.3377 0.0877 0.2500  2 Ir 2.03
10 F 0.8378 0.1353 0.1115  1 Ir 1.94
11 F 0.1766 0.8231 0.4727  1 Ir 1.95
12 F 0.8504 0.7039 0.0273  1 Ir 1.95
13 Tl 0.7290 0.4790 0.2500  5 F 2.71-3.03
14 Tl 0.2710 0.5210 0.7500  5 F 2.71-3.03

=====

This record from Alexandria via LeMat-Bulk describes a relaxed structure of Tl2IrF7. The functional is PBE.

Summary:
For the total energy, the calculation gives -4.283 eV per atom. The crystal system is monoclinic. The spin magnetization is 0.000 Bohr magnetons per cell.

Cell: 6.2281 8.4723 7.8602 Å, 81.41 66.66 68.43°
Last column: nearest neighbours and their distance in Å.
Fractional coordinates of all 20 atoms:
1 Tl 0.7088 0.4354 0.2290  6 F 2.77-3.07
2 Tl 0.2912 0.5646 0.7710  6 F 2.77-3.07
3 Tl 0.6268 0.9354 0.7290  6 F 2.77-3.07
4 Tl 0.3732 0.0646 0.2710  6 F 2.77-3.07
5 F 0.8381 0.7721 0.0909  1 Ir 1.97
6 F 0.6576 0.2500 0.7500  1 Ir 1.97
7 F 0.1950 0.5118 0.1533  1 Ir 2.01
8 F 0.1399 0.0118 0.6533  1 Ir 2.01
9 F 0.2056 0.8283 0.0062  1 Ir 1.96
10 F 0.7011 0.7279 0.4091  1 Ir 1.97
11 F 0.8601 0.9882 0.3467  1 Ir 2.01
12 F 0.3424 0.7500 0.2500  1 Ir 1.97
13 F 0.0401 0.6717 0.4938  1 Ir 1.96
14 F 0.2989 0.2721 0.5909  1 Ir 1.97
15 F 0.7944 0.1717 0.9938  1 Ir 1.96
16 F 0.1619 0.2279 0.9091  1 Ir 1.97
17 F 0.9599 0.3283 0.5062  1 Ir 1.96
18 F 0.8050 0.4882 0.8467  1 Ir 2.01
19 Ir 0.9739 0.2500 0.7500  7 F 1.96-2.01
20 Ir 0.0261 0.7500 0.2500  7 F 1.96-2.01

=====

This record from Alexandria via LeMat-Bulk describes a relaxed structure of TlIr2F11. The functional is PBE.

Summary:
For the total energy, the calculation gives -4.465 eV per atom. The crystal system is orthorhombic. The spin magnetization is 8.007 Bohr magnetons per cell.

Cell: 9.3592 8.7885 8.7885 Å, 69.09 57.83 57.83°
Last column: nearest neighbours and their distance in Å.
Fractional coordinates of all 28 atoms:
1 F 0.0000 0.0000 0.0000  2 Ir 2.00
2 F 0.1366 0.5405 0.7044  1 Ir 1.91
3 F 0.6185 0.7044 0.5405  1 Ir 1.91
4 F 0.8678 0.3650 0.8787  1 Ir 1.90
5 F 0.6114 0.1350 0.6213  1 Ir 1.90
6 F 0.3886 0.8650 0.3787  1 Ir 1.90
7 F 0.8634 0.4595 0.2956  1 Ir 1.91
8 F 0.2595 0.1819 0.8181  1 Ir 1.88
9 F 0.8815 0.9595 0.7956  1 Ir 1.91
10 F 0.3678 0.3787 0.8650  1 Ir 1.90
11 F 0.3815 0.2956 0.4595  1 Ir 1.91
12 F 0.6322 0.6213 0.1350  1 Ir 1.90
13 F 0.5000 0.5000 0.5000  2 Ir 2.00
14 F 0.7405 0.8181 0.1819  1 Ir 1.88
15 F 0.1114 0.1213 0.6350  1 Ir 1.90
16 F 0.1322 0.6350 0.1213  1 Ir 1.90
17 F 0.2405 0.6819 0.3181  1 Ir 1.88
18 F 0.3634 0.7956 0.9595  1 Ir 1.91
19 F 0.1185 0.0405 0.2044  1 Ir 1.91
20 F 0.7595 0.3181 0.6819  1 Ir 1.88
21 F 0.8886 0.8787 0.3650  1 Ir 1.90
22 F 0.6366 0.2044 0.0405  1 Ir 1.91
23 Tl 0.2500 0.2500 0.2500  8 F 2.92-2.93
24 Tl 0.7500 0.7500 0.7500  8 F 2.92-2.93
25 Ir 0.6259 0.6627 0.3373  6 F 1.88-2.00
26 Ir 0.3741 0.3373 0.6627  6 F 1.88-2.00
27 Ir 0.8741 0.1627 0.8373  6 F 1.88-2.00
28 Ir 0.1259 0.8373 0.1627  6 F 1.88-2.00

=====

This record from Alexandria via LeMat-Bulk describes a relaxed structure of Tl2IrF. The functional is PBE.

Summary:
For the total energy, the calculation gives -3.950 eV per atom. The crystal system is tetragonal. The spin magnetization is 0.000 Bohr magnetons per cell.

Cell: 5.9095 5.9095 7.5386 Å, 66.92 66.92 90.00°
Last column: nearest neighbours and their distance in Å.
Fractional coordinates of all 8 atoms:
1 Ir 0.0000 0.0000 0.0000  4 Tl 2.64
2 Ir 0.7500 0.2500 0.5000  4 Tl 2.64
3 Tl 0.3750 0.3831 0.7500  2 F 2.59, 2 Ir 2.64
4 Tl 0.8750 0.8669 0.7500  2 F 2.59, 2 Ir 2.64
5 Tl 0.1331 0.6250 0.2500  2 F 2.59, 2 Ir 2.64
6 Tl 0.6169 0.1250 0.2500  2 F 2.59, 2 Ir 2.64
7 F 0.5000 0.5000 0.0000  4 Tl 2.59
8 F 0.2500 0.7500 0.5000  4 Tl 2.59

=====

This record from Alexandria via LeMat-Bulk describes a relaxed structure of Tl3IrF. The functional is PBE.

Summary:
For the total energy, the calculation gives -3.427 eV per atom. The crystal system is cubic. The spin magnetization is 0.931 Bohr magnetons per cell.

Cell: 4.9893 4.9893 4.9893 Å, 90.00 90.00 90.00°
Last column: nearest neighbours and their distance in Å.
Fractional coordinates of all 5 atoms:
1 Tl 0.0000 0.0000 0.5000  2 F 2.49
2 Tl 0.0000 0.5000 0.0000  2 F 2.49
3 Tl 0.5000 0.0000 0.0000  2 F 2.49
4 F 0.0000 0.0000 0.0000  6 Tl 2.49
5 Ir 0.5000 0.5000 0.5000  12 Tl 3.53

=====

This record from Alexandria via LeMat-Bulk describes a relaxed structure of Tl2IrF6. The functional is PBE.

Summary:
For the total energy, the calculation gives -4.473 eV per atom. The crystal system is monoclinic. The spin magnetization is 2.044 Bohr magnetons per cell.

Cell: 6.4428 6.4196 8.9437 Å, 91.03 90.00 90.00°
Last column: nearest neighbours and their distance in Å.
Fractional coordinates of all 18 atoms:
1 F 0.0265 0.0774 0.7139  1 Ir 1.98
2 F 0.9735 0.9226 0.2861  1 Ir 1.98
3 F 0.7476 0.3318 0.0446  1 Ir 1.97
4 F 0.1761 0.7526 0.5318  1 Ir 1.98
5 F 0.3239 0.2526 0.0318  1 Ir 1.98
6 F 0.4735 0.5774 0.2139  1 Ir 1.98
7 F 0.7524 0.8318 0.5446  1 Ir 1.97
8 F 0.5265 0.4226 0.7861  1 Ir 1.98
9 F 0.2524 0.6682 0.9554  1 Ir 1.97
10 F 0.8239 0.2474 0.4682  1 Ir 1.98
11 F 0.2476 0.1682 0.4554  1 Ir 1.97
12 F 0.6761 0.7474 0.9682  1 Ir 1.98
13 Ir 0.5000 0.5000 0.0000  6 F 1.97-1.98
14 Ir 0.0000 0.0000 0.5000  6 F 1.97-1.98
15 Tl 0.9556 0.5090 0.7459  7 F 2.82-3.09
16 Tl 0.5444 0.0090 0.2459  7 F 2.82-3.09
17 Tl 0.4556 0.9910 0.7541  7 F 2.82-3.09
18 Tl 0.0444 0.4910 0.2541  7 F 2.82-3.09

=====

This record from Alexandria via LeMat-Bulk describes a relaxed structure of TlIrF2. The functional is PBE.

Summary:
For the total energy, the calculation gives -3.868 eV per atom. The crystal system is cubic. The spin magnetization is 1.994 Bohr magnetons per cell.

Cell: 4.4391 4.4391 4.4391 Å, 60.00 60.00 60.00°
Last column: nearest neighbours and their distance in Å.
Fractional coordinates of all 4 atoms:
1 F 0.2500 0.2500 0.2500  4 Tl 2.72, 4 Ir 2.72
2 F 0.7500 0.7500 0.7500  4 Tl 2.72, 4 Ir 2.72
3 Tl 0.5000 0.5000 0.5000  8 F 2.72
4 Ir 0.0000 0.0000 0.0000  8 F 2.72

=====

This record from Alexandria via LeMat-Bulk describes a relaxed structure of Tl3IrF. The functional is PBE.

Summary:
For the total energy, the calculation gives -3.986 eV per atom. The crystal system is cubic. The spin magnetization is 0.000 Bohr magnetons per cell.

Cell: 5.2752 5.2752 5.2752 Å, 90.00 90.00 90.00°
Last column: nearest neighbours and their distance in Å.
Fractional coordinates of all 5 atoms:
1 Tl 0.5000 0.0000 0.0000  2 Ir 2.64
2 Tl 0.0000 0.5000 0.0000  2 Ir 2.64
3 Tl 0.0000 0.0000 0.5000  2 Ir 2.64
4 F 0.5000 0.5000 0.5000  12 Tl 3.73
5 Ir 0.0000 0.0000 0.0000  6 Tl 2.64

=====

This record from Alexandria via LeMat-Bulk describes a relaxed structure of TmIrF. The functional is PBE.

Summary:
For the total energy, the calculation gives -7.160 eV per atom. The crystal system is monoclinic. The spin magnetization is 0.000 Bohr magnetons per cell.

Cell: 4.2900 4.2900 7.1621 Å, 99.92 99.92 60.18°
Last column: nearest neighbours and their distance in Å.
Fractional coordinates of all 6 atoms:
1 F 0.8309 0.8309 0.4393  2 Tm 2.20-2.27
2 F 0.1691 0.1691 0.5607  2 Tm 2.20-2.27
3 Tm 0.0466 0.0466 0.2545  2 F 2.20-2.27
4 Tm 0.9534 0.9534 0.7455  2 F 2.20-2.27
5 Ir 0.6650 0.6650 0.9920  3 Ir 2.48
6 Ir 0.3350 0.3350 0.0080  3 Ir 2.48